1.
Density functional theory data (GGA-PBEsol) for a relaxed Ir2OsPt crystal.

abc: 2.7153 2.7153 7.7355
angles: 90.00 90.00 90.00
Last column: nearest neighbours and their distance in Å.
Positions (direct):
1 Ir 0.0000 0.0000 0.2393  4 Os 2.67, 4 Ir 2.72, 4 Pt 2.78
2 Ir 0.0000 0.0000 0.7607  4 Os 2.67, 4 Ir 2.72, 4 Pt 2.78
3 Os 0.5000 0.5000 0.0000  8 Ir 2.67, 4 Os 2.72
4 Pt 0.5000 0.5000 0.5000  4 Pt 2.72, 8 Ir 2.78

## Properties
As for the total energy: -9.704 eV per atom. As for the energy relative to the lowest polymorph listed for this composition: 0 meV/atom. The value obtained for the formation energy is 3 meV per atom.

2.
Density functional theory data (GGA-PBEsol) for a relaxed IrOsPt2 crystal.

abc: 4.3718 4.3718 4.3718
angles: 60.00 60.00 60.00
Last column: nearest neighbours and their distance in Å.
Positions (direct):
1 Ir 0.0000 0.0000 0.0000  8 Pt 2.68
2 Os 0.5000 0.5000 0.5000  8 Pt 2.68
3 Pt 0.2500 0.2500 0.2500  4 Os 2.68, 4 Ir 2.68
4 Pt 0.7500 0.7500 0.7500  4 Os 2.68, 4 Ir 2.68

## Properties
As for the total energy: -8.478 eV per atom. As for the energy relative to the lowest polymorph listed for this composition: 518 meV/atom. The value obtained for the formation energy is 513 meV per atom.

3.
Density functional theory data (GGA-PBEsol) for a relaxed Ir2OsPt crystal.

abc: 2.7118 2.7118 7.7555
angles: 90.00 90.00 90.00
Last column: nearest neighbours and their distance in Å.
Positions (direct):
1 Ir 0.0000 0.0000 0.0000  8 Ir 2.71-2.72, 4 Pt 2.78
2 Ir 0.5000 0.5000 0.2482  4 Os 2.67, 8 Ir 2.71-2.72
3 Os 0.0000 0.0000 0.4873  4 Ir 2.67, 4 Os 2.71, 4 Pt 2.74
4 Pt 0.5000 0.5000 0.7403  4 Pt 2.71, 4 Os 2.74, 4 Ir 2.78

## Properties
As for the total energy: -9.638 eV per atom. As for the energy relative to the lowest polymorph listed for this composition: 66 meV/atom. The value obtained for the formation energy is 69 meV per atom.